Record 1
A relaxed structure of ZnReAs3. Source: Alexandria via LeMat-Bulk, functional PBE.

Lattice parameters (Å, degrees): 4.7074 4.7074 4.7074 90.00 90.00 90.00
Closest atoms and distances in Å follow each position.
Sites, in units of the cell vectors:
Re 0.5000 0.5000 0.5000  12 As 3.33
As 0.0000 0.5000 0.0000  2 Zn 2.35
As 0.0000 0.0000 0.5000  2 Zn 2.35
As 0.5000 0.0000 0.0000  2 Zn 2.35
Zn 0.0000 0.0000 0.0000  6 As 2.35

Results
excess energy over the best structure of this formula in the dataset = 82.1 kJ/mol of atoms
calculated volume = 104.32 Å³/cell
uncorrected energy = -4.057 eV/atom
crystal system = cubic
formation energy from the elements = 1.48 eV per atom
SG = Pm-3m, No. 221

Record 2
A relaxed structure of Zn2ReAs. Source: Alexandria via LeMat-Bulk, functional PBE.

Lattice parameters (Å, degrees): 5.2558 5.2558 4.2836 85.70 85.70 31.78
Closest atoms and distances in Å follow each position.
Sites, in units of the cell vectors:
As 0.7500 0.7500 0.7500  4 Re 2.58, 2 Zn 2.70, 2 As 2.88
Re 0.2500 0.2500 0.2500  4 As 2.58, 2 Re 2.88
Zn 0.9848 0.9848 0.0098  4 Zn 2.55-2.65, 1 As 2.70
Zn 0.5152 0.5152 0.4902  4 Zn 2.55-2.65, 1 As 2.70

Results
calculated volume = 62.14 Å³/cell
uncorrected energy = -4.533 eV/atom
crystal system = monoclinic
formation energy from the elements = 0.38 eV per atom
SG = C2/m, No. 12

Record 3
A relaxed structure of Zn2ReAs. Source: Alexandria via LeMat-Bulk, functional PBE.

Lattice parameters (Å, degrees): 4.8536 4.8536 4.8536 132.76 132.76 69.03
Closest atoms and distances in Å follow each position.
Sites, in units of the cell vectors:
As 0.5000 0.5000 0.0000  8 Zn 2.75-2.79, 4 Re 2.79
Re 0.7500 0.2500 0.5000  8 Zn 2.75-2.79, 4 As 2.79
Zn 0.0000 0.0000 0.0000  4 As 2.75, 4 Zn 2.79, 4 Re 2.79
Zn 0.2500 0.7500 0.5000  4 Re 2.75, 4 Zn 2.79, 4 As 2.79

Results
calculated volume = 60.50 Å³/cell
uncorrected energy = -4.550 eV/atom
crystal system = tetragonal
formation energy from the elements = 0.36 eV per atom
SG = I-4m2, No. 119

Record 4
A relaxed structure of Zn2ReAs. Source: Alexandria via LeMat-Bulk, functional PBE.

Lattice parameters (Å, degrees): 8.8956 8.8956 8.8956 18.67 18.67 18.67
Closest atoms and distances in Å follow each position.
Sites, in units of the cell vectors:
As 0.2500 0.2500 0.2500  6 Zn 2.79, 6 As 2.89
Re 0.7500 0.7500 0.7500  6 Zn 2.71, 6 Re 2.89
Zn 0.0020 0.0020 0.0020  3 Re 2.71, 3 As 2.79, 6 Zn 2.89
Zn 0.4980 0.4980 0.4980  3 Re 2.71, 3 As 2.79, 6 Zn 2.89

Results
calculated volume = 63.03 Å³/cell
uncorrected energy = -4.589 eV/atom
crystal system = trigonal
formation energy from the elements = 0.32 eV per atom
SG = R-3m, No. 166

Record 5
A relaxed structure of ZnReAs3. Source: Alexandria via LeMat-Bulk, functional PBE.

Lattice parameters (Å, degrees): 4.8604 4.8604 4.8604 90.00 90.00 90.00
Closest atoms and distances in Å follow each position.
Sites, in units of the cell vectors:
Re 0.0000 0.0000 0.0000  6 As 2.43
As 0.0000 0.5000 0.0000  2 Re 2.43
As 0.0000 0.0000 0.5000  2 Re 2.43
As 0.5000 0.0000 0.0000  2 Re 2.43
Zn 0.5000 0.5000 0.5000  12 As 3.44

Results
excess energy over the best structure of this formula in the dataset = 0.0 kJ/mol of atoms
calculated volume = 114.82 Å³/cell
uncorrected energy = -4.907 eV/atom
crystal system = cubic
formation energy from the elements = 0.63 eV per atom
SG = Pm-3m, No. 221

Record 6
A relaxed structure of ZrReAs. Source: Alexandria via LeMat-Bulk, functional PBE.

Lattice parameters (Å, degrees): 6.9915 5.4753 5.5044 90.00 90.61 90.00
Closest atoms and distances in Å follow each position.
Sites, in units of the cell vectors:
Re 0.5000 0.2707 0.5000  3 Re 2.51-2.76, 4 As 2.68-2.72
Re 0.5000 0.7293 0.5000  3 Re 2.51-2.76, 4 As 2.68-2.72
Re 0.5000 0.7707 0.0000  3 Re 2.51-2.76, 4 As 2.68-2.72
Re 0.5000 0.2293 0.0000  3 Re 2.51-2.76, 4 As 2.68-2.72
As 0.2319 0.0000 0.2590  4 Re 2.68-2.72, 5 Zr 2.75-2.83
As 0.7681 0.0000 0.7410  4 Re 2.68-2.72, 5 Zr 2.75-2.83
As 0.2319 0.5000 0.7590  4 Re 2.68-2.72, 5 Zr 2.75-2.83
As 0.7681 0.5000 0.2410  4 Re 2.68-2.72, 5 Zr 2.75-2.83
Zr 0.8328 0.0000 0.2496  5 As 2.75-2.83, 2 Re 2.97
Zr 0.1672 0.0000 0.7504  5 As 2.75-2.83, 2 Re 2.97
Zr 0.8328 0.5000 0.7496  5 As 2.75-2.83, 2 Re 2.97
Zr 0.1672 0.5000 0.2504  5 As 2.75-2.83, 2 Re 2.97

Results
excess energy over the best structure of this formula in the dataset = 3.7 kJ/mol of atoms
calculated volume = 210.70 Å³/cell
uncorrected energy = -9.016 eV/atom
crystal system = monoclinic
formation energy from the elements = -0.47 eV per atom
SG = C2/m, No. 12

Record 7
A relaxed structure of ZrRe2As. Source: Alexandria via LeMat-Bulk, functional PBE.

Lattice parameters (Å, degrees): 3.2452 3.2452 6.2647 90.00 90.00 90.00
Closest atoms and distances in Å follow each position.
Sites, in units of the cell vectors:
Re 0.0000 0.0000 0.9799  4 As 2.71, 4 Zr 2.85, 1 Re 2.88
Re 0.0000 0.0000 0.5201  4 As 2.71, 4 Zr 2.85, 1 Re 2.88
As 0.5000 0.5000 0.7500  8 Re 2.71
Zr 0.5000 0.5000 0.2500  8 Re 2.85, 2 As 3.13

Results
calculated volume = 65.98 Å³/cell
uncorrected energy = -9.387 eV/atom
crystal system = tetragonal
formation energy from the elements = 0.14 eV per atom
SG = P4/mmm, No. 123

Record 8
A relaxed structure of ZrRe2As. Source: Alexandria via LeMat-Bulk, functional PBE.

Lattice parameters (Å, degrees): 8.3764 8.3764 8.3764 21.38 21.38 21.38
Closest atoms and distances in Å follow each position.
Sites, in units of the cell vectors:
Re 0.0067 0.0067 0.0067  3 As 2.60, 3 Zr 2.85
Re 0.4933 0.4933 0.4933  3 As 2.60, 3 Zr 2.85
As 0.7500 0.7500 0.7500  6 Re 2.60
Zr 0.2500 0.2500 0.2500  6 Re 2.85, 6 Zr 3.11

Results
calculated volume = 68.46 Å³/cell
uncorrected energy = -9.184 eV/atom
crystal system = trigonal
formation energy from the elements = 0.34 eV per atom
SG = R-3m, No. 166

Record 9
A relaxed structure of ZrReAs. Source: Alexandria via LeMat-Bulk, functional PBE.

Lattice parameters (Å, degrees): 6.4437 3.3704 9.9844 90.00 101.54 90.00
Closest atoms and distances in Å follow each position.
Sites, in units of the cell vectors:
Re 0.6714 0.0000 0.4098  4 As 2.58-2.62, 3 Re 2.78-2.87
Re 0.6714 0.5000 0.9098  4 As 2.58-2.62, 3 Re 2.78-2.87
Re 0.5875 0.0000 0.1254  3 As 2.63-2.76, 3 Re 2.78-2.87, 4 Zr 2.80-2.83
Re 0.5875 0.5000 0.6254  3 As 2.63-2.76, 3 Re 2.78-2.87, 4 Zr 2.80-2.83
As 0.9447 0.0000 0.0363  3 Re 2.58-2.63, 5 Zr 2.74-2.84
As 0.9447 0.5000 0.5363  3 Re 2.58-2.63, 5 Zr 2.74-2.84
As 0.3897 0.0000 0.7797  4 Re 2.62-2.76, 1 Zr 2.81
As 0.3897 0.5000 0.2797  4 Re 2.62-2.76, 1 Zr 2.81
Zr 0.9244 0.0000 0.7499  4 As 2.74-2.95, 4 Re 2.83-3.01
Zr 0.9244 0.5000 0.2499  4 As 2.74-2.95, 4 Re 2.83-3.01
Zr 0.2621 0.0000 0.4940  5 As 2.75-2.97, 3 Re 2.80-2.92
Zr 0.2621 0.5000 0.9940  5 As 2.75-2.97, 3 Re 2.80-2.92

Results
excess energy over the best structure of this formula in the dataset = 11.0 kJ/mol of atoms
calculated volume = 212.46 Å³/cell
uncorrected energy = -8.941 eV/atom
crystal system = monoclinic
formation energy from the elements = -0.39 eV per atom
SG = Cm, No. 8

Record 10
A relaxed structure of ZrRe2As. Source: Alexandria via LeMat-Bulk, functional PBE.

Lattice parameters (Å, degrees): 5.5107 5.5107 5.5107 140.28 140.28 57.43
Closest atoms and distances in Å follow each position.
Sites, in units of the cell vectors:
Re 0.0000 0.0000 0.0000  4 Re 2.65
Re 0.5000 0.5000 0.0000  4 Re 2.65
As 0.7500 0.2500 0.5000  4 Zr 2.65
Zr 0.2500 0.7500 0.5000  4 As 2.65

Results
calculated volume = 67.76 Å³/cell
uncorrected energy = -9.475 eV/atom
crystal system = tetragonal
formation energy from the elements = 0.05 eV per atom
SG = I4/mmm, No. 139

Record 11
A relaxed structure of ZrRe2As. Source: Alexandria via LeMat-Bulk, functional PBE.

Lattice parameters (Å, degrees): 3.0494 4.2325 5.3058 90.00 90.00 90.00
Closest atoms and distances in Å follow each position.
Sites, in units of the cell vectors:
Re 0.0000 0.0000 0.9792  1 Re 2.43
Re 0.0000 0.0000 0.5208  1 Re 2.43
As 0.5000 0.5000 0.7500  2 Zr 2.65, 8 Re 2.88
Zr 0.5000 0.5000 0.2500  2 As 2.65

Results
calculated volume = 68.48 Å³/cell
uncorrected energy = -9.311 eV/atom
crystal system = orthorhombic
formation energy from the elements = 0.21 eV per atom
SG = Pmmm, No. 47

Record 12
A relaxed structure of Zr2ReAs. Source: Alexandria via LeMat-Bulk, functional PBE.

Lattice parameters (Å, degrees): 4.9432 4.9432 4.9432 127.54 127.56 77.36
Closest atoms and distances in Å follow each position.
Sites, in units of the cell vectors:
Re 0.7500 0.2500 0.5000  8 Zr 2.91-2.92, 4 As 3.09
As 0.2500 0.7500 0.5000  8 Zr 2.91, 4 Re 3.09
Zr 0.0000 0.0000 0.0000  4 Re 2.91-2.92, 4 As 2.91, 4 Zr 3.09
Zr 0.5000 0.5000 0.0000  4 Re 2.91-2.92, 4 As 2.91, 4 Zr 3.09

Results
calculated volume = 73.66 Å³/cell
uncorrected energy = -8.823 eV/atom
crystal system = tetragonal
formation energy from the elements = -0.27 eV per atom
SG = I4/mmm, No. 139